Entry 1:
# NaGa2Co (GGA-PBE, relaxed)
data_NaGa2Co
_cell_length_a 4.1206
_cell_length_b 4.1206
_cell_length_c 15.8380
_cell_angle_alpha 90.00
_cell_angle_beta 90.00
_cell_angle_gamma 120.00
_space_group_name_H-M_alt 'R -3 m'
_space_group_IT_number 166
_space_group_name_Hall '-R 3 2"'
loop_
_atom_site_label
_atom_site_type_symbol
_atom_site_fract_x
_atom_site_fract_y
_atom_site_fract_z
_atom_site_occupancy
Na1 Na 0.0000 0.0000 0.0000 1
Ga1 Ga 0.0000 0.0000 0.2013 1
Co1 Co 0.0000 0.0000 0.5000 1
# Magnetization (μB per formula unit): 0.0
# Crystal system: trigonal
# DFT formation energy (meV per atom): -29

Entry 2:
# SmGa8Ir2 (GGA-PBE, relaxed)
data_SmGa8Ir2
_cell_length_a 6.3349
_cell_length_b 6.3349
_cell_length_c 5.3171
_cell_angle_alpha 90.00
_cell_angle_beta 90.00
_cell_angle_gamma 90.00
_space_group_name_H-M_alt 'P 4/m m m'
_space_group_IT_number 123
_space_group_name_Hall '-P 4 2'
loop_
_atom_site_label
_atom_site_type_symbol
_atom_site_fract_x
_atom_site_fract_y
_atom_site_fract_z
_atom_site_occupancy
Sm1 Sm 0.0000 0.0000 0.0000 1
Ga1 Ga 0.2917 0.2917 0.2483 1
Ir1 Ir 0.0000 0.5000 0.5000 1
# Magnetization (μB per formula unit): 0.0
# Crystal system: tetragonal
# DFT formation energy (meV per atom): -208

Entry 3:
# TiZnFe2Se (GGA-PBE, relaxed)
data_TiZnFe2Se
_cell_length_a 4.4007
_cell_length_b 4.4007
_cell_length_c 4.9227
_cell_angle_alpha 90.00
_cell_angle_beta 90.00
_cell_angle_gamma 90.00
_space_group_name_H-M_alt 'P 4/m m m'
_space_group_IT_number 123
_space_group_name_Hall '-P 4 2'
loop_
_atom_site_label
_atom_site_type_symbol
_atom_site_fract_x
_atom_site_fract_y
_atom_site_fract_z
_atom_site_occupancy
Ti1 Ti 0.0000 0.0000 0.0000 1
Zn1 Zn 0.0000 0.0000 0.5000 1
Fe1 Fe 0.0000 0.5000 0.0000 1
Se1 Se 0.5000 0.5000 0.5000 1
# E_tot (eV/atom): -4.84
# Magnetization (μB per formula unit): 3.7
# Crystal system: tetragonal

Entry 4:
# NaYB3 (GGA-PBE, relaxed)
data_NaYB3
_cell_length_a 4.2804
_cell_length_b 4.2804
_cell_length_c 4.2804
_cell_angle_alpha 90.00
_cell_angle_beta 90.00
_cell_angle_gamma 90.00
_space_group_name_H-M_alt 'P m -3 m'
_space_group_IT_number 221
_space_group_name_Hall '-P 4 2 3'
loop_
_atom_site_label
_atom_site_type_symbol
_atom_site_fract_x
_atom_site_fract_y
_atom_site_fract_z
_atom_site_occupancy
Na1 Na 0.0000 0.0000 0.0000 1
Y1 Y 0.5000 0.5000 0.5000 1
B1 B 0.0000 0.0000 0.5000 1
# Magnetization (μB per formula unit): 0.0
# Crystal system: cubic
# DFT formation energy (meV per atom): 1800

Entry 5:
# Sr3GaN3 (GGA-PBE, relaxed)
data_Sr3GaN3
_cell_length_a 7.6283
_cell_length_b 7.6283
_cell_length_c 5.4358
_cell_angle_alpha 90.00
_cell_angle_beta 90.00
_cell_angle_gamma 120.00
_space_group_name_H-M_alt 'P 63/m'
_space_group_IT_number 176
_space_group_name_Hall '-P 6c'
loop_
_atom_site_label
_atom_site_type_symbol
_atom_site_fract_x
_atom_site_fract_y
_atom_site_fract_z
_atom_site_occupancy
Sr1 Sr 0.0713 0.3579 0.2500 1
Ga1 Ga 0.3333 0.6667 0.7500 1
N1 N 0.0949 0.4016 0.7500 1
# E_tot (eV/atom): -5.36
# Magnetization (μB per formula unit): 0.0
# Crystal system: hexagonal

Entry 6:
# Tm2Tc3W (GGA-PBE, relaxed)
data_Tm2Tc3W
_cell_length_a 9.2317
_cell_length_b 5.4525
_cell_length_c 5.3665
_cell_angle_alpha 90.00
_cell_angle_beta 124.29
_cell_angle_gamma 90.00
_space_group_name_H-M_alt 'C 1 2/m 1'
_space_group_IT_number 12
_space_group_name_Hall '-C 2y'
loop_
_atom_site_label
_atom_site_type_symbol
_atom_site_fract_x
_atom_site_fract_y
_atom_site_fract_z
_atom_site_occupancy
Tm1 Tm 0.1246 0.0000 0.3749 1
Tc1 Tc 0.0000 0.5000 0.5000 1
Tc2 Tc 0.2500 0.2500 0.0000 1
W1 W 0.0000 0.5000 0.0000 1
# Magnetization (μB per formula unit): 0.0
# Crystal system: monoclinic
# DFT formation energy (meV per atom): -172

Entry 7:
# Tb5Pm4Al (GGA-PBE, relaxed)
data_Tb5Pm4Al
_cell_length_a 10.6958
_cell_length_b 10.6958
_cell_length_c 5.7397
_cell_angle_alpha 90.00
_cell_angle_beta 90.00
_cell_angle_gamma 90.00
_space_group_name_H-M_alt 'I 4 m m'
_space_group_IT_number 107
_space_group_name_Hall 'I 4 -2'
loop_
_atom_site_label
_atom_site_type_symbol
_atom_site_fract_x
_atom_site_fract_y
_atom_site_fract_z
_atom_site_occupancy
Tb1 Tb 0.0000 0.0000 0.0000 1
Tb2 Tb 0.1823 0.1823 0.6905 1
Pm1 Pm 0.0000 0.3109 0.1974 1
Al1 Al 0.0000 0.0000 0.4832 1
# Magnetization (μB per formula unit): 0.0
# Crystal system: tetragonal
# DFT formation energy (meV per atom): 86

Entry 8:
# TlGeBiS4 (GGA-PBE, relaxed)
data_TlGeBiS4
_cell_length_a 8.2999
_cell_length_b 12.1732
_cell_length_c 8.8141
_cell_angle_alpha 90.00
_cell_angle_beta 90.00
_cell_angle_gamma 90.00
_space_group_name_H-M_alt 'C m c m'
_space_group_IT_number 63
_space_group_name_Hall '-C 2c 2'
loop_
_atom_site_label
_atom_site_type_symbol
_atom_site_fract_x
_atom_site_fract_y
_atom_site_fract_z
_atom_site_occupancy
Tl1 Tl 0.0000 0.0000 0.0000 1
Ge1 Ge 0.0000 0.3673 0.2500 1
Bi1 Bi 0.0000 0.3494 0.7500 1
S1 S 0.0000 0.2619 0.0481 1
S2 S 0.2083 0.4913 0.2500 1
# E_tot (eV/atom): -4.20
# Magnetization (μB per formula unit): 0.0
# Crystal system: orthorhombic

Entry 9:
# HoSc2Pt (GGA-PBE, relaxed)
data_HoSc2Pt
_cell_length_a 3.5645
_cell_length_b 3.5645
_cell_length_c 27.3334
_cell_angle_alpha 90.00
_cell_angle_beta 90.00
_cell_angle_gamma 120.00
_space_group_name_H-M_alt 'R -3 m'
_space_group_IT_number 166
_space_group_name_Hall '-R 3 2"'
loop_
_atom_site_label
_atom_site_type_symbol
_atom_site_fract_x
_atom_site_fract_y
_atom_site_fract_z
_atom_site_occupancy
Ho1 Ho 0.0000 0.0000 0.0000 1
Sc1 Sc 0.0000 0.0000 0.2294 1
Pt1 Pt 0.0000 0.0000 0.5000 1
# Magnetization (μB per formula unit): 0.0
# Crystal system: trigonal
# DFT formation energy (meV per atom): -422

Entry 10:
# PaZn10Ag (GGA-PBE, relaxed)
data_PaZn10Ag
_cell_length_a 4.3061
_cell_length_b 5.1105
_cell_length_c 9.2140
_cell_angle_alpha 90.00
_cell_angle_beta 90.00
_cell_angle_gamma 90.00
_space_group_name_H-M_alt 'P m m m'
_space_group_IT_number 47
_space_group_name_Hall '-P 2 2'
loop_
_atom_site_label
_atom_site_type_symbol
_atom_site_fract_x
_atom_site_fract_y
_atom_site_fract_z
_atom_site_occupancy
Pa1 Pa 0.0000 0.0000 0.0000 1
Zn1 Zn 0.0000 0.0000 0.3467 1
Zn2 Zn 0.0000 0.5000 0.1970 1
Zn3 Zn 0.5000 0.0000 0.5000 1
Zn4 Zn 0.5000 0.2387 0.2341 1
Zn5 Zn 0.5000 0.5000 0.0000 1
Ag1 Ag 0.0000 0.5000 0.5000 1
# Magnetization (μB per formula unit): 0.3
# Crystal system: orthorhombic
# DFT formation energy (meV per atom): -1

Entry 11:
# Ba3TaPt (GGA-PBE, relaxed)
data_Ba3TaPt
_cell_length_a 6.0915
_cell_length_b 6.0915
_cell_length_c 6.0915
_cell_angle_alpha 90.00
_cell_angle_beta 90.00
_cell_angle_gamma 90.00
_space_group_name_H-M_alt 'P m -3 m'
_space_group_IT_number 221
_space_group_name_Hall '-P 4 2 3'
loop_
_atom_site_label
_atom_site_type_symbol
_atom_site_fract_x
_atom_site_fract_y
_atom_site_fract_z
_atom_site_occupancy
Ba1 Ba 0.0000 0.0000 0.5000 1
Ta1 Ta 0.5000 0.5000 0.5000 1
Pt1 Pt 0.0000 0.0000 0.0000 1
# Magnetization (μB per formula unit): 4.4
# Crystal system: cubic
# DFT formation energy (meV per atom): 608

Entry 12:
# Hf3RuW (GGA-PBE, relaxed)
data_Hf3RuW
_cell_length_a 4.8541
_cell_length_b 4.8541
_cell_length_c 4.8541
_cell_angle_alpha 90.00
_cell_angle_beta 90.00
_cell_angle_gamma 90.00
_space_group_name_H-M_alt 'P m -3 m'
_space_group_IT_number 221
_space_group_name_Hall '-P 4 2 3'
loop_
_atom_site_label
_atom_site_type_symbol
_atom_site_fract_x
_atom_site_fract_y
_atom_site_fract_z
_atom_site_occupancy
Hf1 Hf 0.0000 0.0000 0.5000 1
Ru1 Ru 0.0000 0.0000 0.0000 1
W1 W 0.5000 0.5000 0.5000 1
# Magnetization (μB per formula unit): 0.0
# Crystal system: cubic
# DFT formation energy (meV per atom): 890